{"formula": "KGe", "functional": "PBE", "state": "optimized geometry", "magmom_total_mub_per_fu": 0.000, "formation_enthalpy_0k_ev_per_atom": -0.075, "final_energy_ry_per_atom": -0.215, "rho_g_cm3": 1.90, "crystal_system": "hexagonal", "lattice_angstrom": [[12.851, 0.000, 0.000], [-6.426, 11.129, 0.000], [0.000, 0.000, 4.103]], "species": ["K", "Ge", "K", "K", "K", "Ge", "Ge", "Ge", "K", "Ge", "K", "Ge"], "fractional_positions": [[0.457, 0.229, 0.250], [0.063, 0.531, 0.250], [0.771, 0.229, 0.250], [0.771, 0.543, 0.250], [0.229, 0.457, 0.750], [0.469, 0.937, 0.250], [0.469, 0.531, 0.250], [0.531, 0.063, 0.750], [0.229, 0.771, 0.750], [0.937, 0.469, 0.750], [0.543, 0.771, 0.750], [0.531, 0.469, 0.750]]}